A relaxed structure of ScTc2Ru, computed with PBE-GGA.

Geometry as POSCAR:
```
ScTc2Ru
1.0
-1.801 -1.084 2.271
-1.937 -1.187 -2.103
3.392 -5.582 0.026
Ru Sc Tc
1 1 2
direct
0.500 0.500 0.250
0.500 0.500 0.750
0.000 0.000 0.013
0.000 0.000 0.487
```

Its energy is -9.00 eV per atom. The density of states at the Fermi level comes out at 1.318 states/eV/atom. The formation energy comes out at 0.0807 eV per atom. The calculation puts the relative energy among the computed polymorphs at 199 meV/atom.